The following is a PBE calculation of crystalline La3Pm3AlTl2 at its relaxed geometry, from Alexandria.

```
data_La3Pm3AlTl2
_chemical_formula_sum 'La3 Pm3 Al1 Tl2'
_cell_length_a 9.1911
_cell_length_b 9.1911
_cell_length_c 3.8647
_cell_angle_alpha 90.00
_cell_angle_beta 90.00
_cell_angle_gamma 120.00
_space_group_name_H-M_alt 'P -6 2 m'
_space_group_IT_number 189
_space_group_name_Hall 'P -6 -2'
loop_
_atom_site_label
_atom_site_type_symbol
_atom_site_fract_x
_atom_site_fract_y
_atom_site_fract_z
La1 La 0.0000 0.3818 0.0000
Pm1 Pm 0.0000 0.7227 0.5000
Al1 Al 0.0000 0.0000 0.0000
Tl1 Tl 0.3333 0.6667 0.5000
```

## Properties
For the final energy, the calculation gives -4.4367 eV/atom. The value obtained for the formation energy from the elements is -26 kJ per mole of atoms. Its crystal system is hexagonal.